Record 1
! GGA-PBE Ho3Tl2H2, relaxed; values from VASP
&SYSTEM
  ibrav = 0, nat = 7, ntyp = 3
/
ATOMIC_SPECIES
Ho 164.93 Ho.upf
Tl 204.38 Tl.upf
H 1.01 H.upf
ATOMIC_POSITIONS angstrom
Ho 0.0000 0.0000 0.0000
Ho -0.7817 0.0000 4.2505
Ho 8.4365 0.0000 1.3857
Tl 2.6388 0.0000 3.7621
Tl 5.0160 0.0000 1.8741
H 2.1675 0.0000 0.5074
H 5.4873 0.0000 5.1289
CELL_PARAMETERS angstrom
5.8939 -2.1806 0.0000
5.8939 2.1806 0.0000
-4.1331 0.0000 5.6362
! - excess energy over the best structure of this formula in the dataset (meV per atom) = 0
! - energy (eV per atom) = -4.03

---

Record 2
! GGA-PBE Ba2CaRh, relaxed; values from VASP
&SYSTEM
  ibrav = 0, nat = 4, ntyp = 3
/
ATOMIC_SPECIES
Ba 137.33 Ba.upf
Ca 40.08 Ca.upf
Rh 102.91 Rh.upf
ATOMIC_POSITIONS angstrom
Ba 0.0000 0.0000 0.0000
Ba 1.9019 1.9019 3.9156
Ca 0.0000 0.0000 7.2871
Rh 1.9019 1.9019 8.7612
CELL_PARAMETERS angstrom
3.8038 0.0000 0.0000
0.0000 3.8038 0.0000
0.0000 0.0000 10.6636
! - excess energy over the best structure of this formula in the dataset (meV per atom) = 167
! - energy (eV per atom) = -3.35
! - energy relative to the elements (eV per atom) = -0.05

---

The lowest energy belongs to which entry?
Ho3Tl2H2